Entry 1:
{"formula": "NaAc4Se5", "functional": "GGA-PBE", "state": "relaxed", "density_g_cm3": 7.09, "e_form_raw_ev_per_atom": -1.81, "cell": [[1.712, -3.568, 4.879], [5.805, -4.825, -1.521], [5.467, 3.140, 4.421]], "species": ["Na", "Ac", "Ac", "Ac", "Ac", "Se", "Se", "Se", "Se", "Se"], "fractional_positions": [[0.002, 0.000, 0.000], [0.401, 0.400, 0.801], [0.800, 0.801, 0.600], [0.201, 0.199, 0.400], [0.601, 0.600, 0.199], [0.904, 0.392, 0.803], [0.295, 0.803, 0.608], [0.707, 0.197, 0.392], [0.098, 0.608, 0.197], [0.501, 0.000, 0.000]]}

Entry 2:
{"formula": "Mn2Fe2H3", "functional": "GGA-PBE", "state": "relaxed", "density_g_cm3": 7.50, "cell": [[2.559, 0.000, 0.000], [0.000, 4.561, 0.244], [-1.279, -0.944, 4.209]], "species": ["Mn", "Mn", "Fe", "Fe", "H", "H", "H"], "fractional_positions": [[0.380, 0.137, 0.761], [0.620, 0.863, 0.239], [0.119, 0.384, 0.237], [0.881, 0.616, 0.763], [0.000, 0.000, 0.000], [0.255, 0.754, 0.511], [0.745, 0.246, 0.489]]}

Entry 3:
{"formula": "Sn2RuBr", "functional": "GGA-PBE", "state": "relaxed", "density_g_cm3": 7.69, "e_above_lowest_polymorph_mev_per_atom": 350, "e_form_raw_ev_per_atom": 0.59, "cell": [[0.000, 3.562, 3.562], [3.562, 0.000, 3.562], [3.562, 3.562, 0.000]], "species": ["Ru", "Sn", "Sn", "Br"], "fractional_positions": [[0.500, 0.500, 0.500], [0.250, 0.250, 0.250], [0.750, 0.750, 0.750], [0.000, 0.000, 0.000]]}

Entry 4:
{"formula": "YCuRu4", "functional": "GGA-PBE", "state": "relaxed", "density_g_cm3": 9.24, "ef_ev_per_atom": 0.19, "cell": [[0.000, 3.685, 3.685], [3.685, 0.000, 3.685], [3.685, 3.685, 0.000]], "species": ["Y", "Cu", "Ru", "Ru", "Ru", "Ru"], "fractional_positions": [[0.250, 0.250, 0.250], [0.000, 0.000, 0.000], [0.626, 0.626, 0.122], [0.626, 0.122, 0.626], [0.626, 0.626, 0.626], [0.122, 0.626, 0.626]]}

Entry 5:
{"formula": "Tb4IrRh2Au", "functional": "GGA-PBE", "state": "relaxed", "density_g_cm3": 12.05, "ef_ev_per_atom": -0.83, "cell": [[4.931, 0.000, 0.000], [2.465, 4.270, 0.000], [2.465, 1.423, 8.054]], "species": ["Tb", "Tb", "Tb", "Tb", "Ir", "Rh", "Rh", "Au"], "fractional_positions": [[0.379, 0.379, 0.864], [0.872, 0.872, 0.384], [0.128, 0.128, 0.616], [0.621, 0.621, 0.136], [0.500, 0.500, 0.500], [0.750, 0.750, 0.749], [0.250, 0.250, 0.251], [0.000, 0.000, 0.000]]}

Entry 6:
{"formula": "IrSN2O", "functional": "GGA-PBE", "state": "relaxed", "density_g_cm3": 8.67, "e_form_raw_ev_per_atom": 2.18, "cell": [[-0.033, -3.498, -1.204], [3.098, -0.684, 1.903], [-2.053, -1.007, 2.981]], "species": ["S", "Ir", "O", "N", "N"], "fractional_positions": [[0.000, 0.000, 0.500], [0.500, 0.500, 0.500], [0.000, 0.000, 0.000], [0.000, 0.500, 0.000], [0.500, 0.000, 0.000]]}

Entry 7:
{"formula": "Sm3Er4Tm5", "functional": "GGA-PBE", "state": "relaxed", "density_g_cm3": 8.55, "e_above_lowest_polymorph_mev_per_atom": 227, "ef_ev_per_atom": 0.25, "cell": [[-3.817, -3.350, 2.887], [3.391, -7.538, 1.647], [-1.580, 4.050, 8.521]], "species": ["Sm", "Sm", "Sm", "Er", "Er", "Er", "Er", "Tm", "Tm", "Tm", "Tm", "Tm"], "fractional_positions": [[0.524, 0.685, 0.268], [0.000, 0.500, 0.500], [0.476, 0.315, 0.732], [0.860, 0.222, 0.059], [0.168, 0.041, 0.623], [0.832, 0.959, 0.377], [0.140, 0.778, 0.941], [0.624, 0.949, 0.804], [0.500, 0.500, 0.500], [0.215, 0.458, 0.113], [0.785, 0.542, 0.887], [0.376, 0.051, 0.196]]}

Entry 8:
{"formula": "Sc3Ag8", "functional": "GGA-PBE", "state": "relaxed", "density_g_cm3": 8.05, "ef_ev_per_atom": -0.20, "cell": [[4.060, 0.000, 0.000], [-2.030, 4.627, -1.010], [0.000, -0.430, 11.052]], "species": ["Sc", "Sc", "Sc", "Ag", "Ag", "Ag", "Ag", "Ag", "Ag", "Ag", "Ag"], "fractional_positions": [[0.000, 0.000, 0.000], [0.897, 0.795, 0.357], [0.103, 0.205, 0.643], [0.725, 0.449, 0.091], [0.275, 0.551, 0.909], [0.551, 0.103, 0.822], [0.449, 0.897, 0.178], [0.829, 0.659, 0.728], [0.171, 0.341, 0.272], [0.632, 0.265, 0.456], [0.368, 0.735, 0.544]]}

| no. | uncorrected energy (eV per atom) | size of the total moment (μB/f.u.) |
| --- | --- | --- |
| 1 | -5.32 | 0.00 |
| 2 | -6.47 | 0.01 |
| 3 | -4.15 | 1.13 |
| 4 | -7.75 | 2.13 |
| 5 | -6.50 | 0.00 |
| 6 | -4.73 | 0.00 |
| 7 | -4.31 | 0.29 |
| 8 | -4.00 | 0.00 |